Computed, not measured: a relaxed structure of Y3ZnPd at the GGA-PBE level of DFT.

Its formation energy is -445 meV/atom.

The space group is C2/m (No. 12) and the conventional cell measures 9.3446, 6.4165 and 9.4649 Å, with angles of 90.00, 119.26 and 90.00 degrees. Symmetry generates all atoms from Y at (0.0771, 0.0000, 0.2971), Y at (0.1960, 0.5000, 0.8901), Y at (0.2163, 0.5000, 0.3029), Zn at (0.0000, 0.3071, 0.5000) and Pd at (0.0000, 0.2528, 0.0000).